[1]
PBE BaNdGaS4, optimized geometry; E = -5.363 eV/atom; volume = 26.18 Å³/atom; total magnetization = 0.0 μB/f.u.; density = 4.3 g cm⁻³
1.0
6.6700 0.0000 0.0000
0.0000 6.7470 0.0000
-2.5799 0.0000 8.1446
Ba Nd Ga S
2 2 2 8
direct
0.2397 0.2500 0.4351
0.7603 0.7500 0.5649
0.2754 0.2500 0.9461
0.7246 0.7500 0.0539
0.2693 0.7500 0.1801
0.7307 0.2500 0.8199
0.0637 0.7500 0.9159
0.0738 0.7500 0.3562
0.4963 0.5068 0.7743
0.4963 0.9932 0.7743
0.5037 0.0068 0.2257
0.5037 0.4932 0.2257
0.9262 0.2500 0.6438
0.9363 0.2500 0.0841

=====

[2]
PBE Ba2NdGa2S6, optimized geometry; E = -4.955 eV/atom; volume = 28.61 Å³/atom; total magnetization = 0.7 μB/f.u.; density = 4.0 g cm⁻³
1.0
5.8191 -3.6612 0.0000
5.8191 3.6612 0.0000
-3.1989 0.0000 7.3854
Ba Nd Ga S
2 1 2 6
direct
0.1999 0.1999 0.1670
0.8001 0.8001 0.8330
0.0000 0.0000 0.5000
0.4597 0.4597 0.6581
0.5403 0.5403 0.3419
0.1847 0.7002 0.1984
0.2531 0.2531 0.5778
0.2998 0.8153 0.8016
0.7002 0.1847 0.1984
0.7469 0.7469 0.4222
0.8153 0.2998 0.8016

=====

[3]
PBE BaNdGaSe4, optimized geometry; E = -4.867 eV/atom; volume = 29.51 Å³/atom; total magnetization = 0.0 μB/f.u.; density = 5.4 g cm⁻³
1.0
6.9361 0.0000 0.0000
0.0000 7.0596 0.0000
-2.6743 0.0000 8.4369
Ba Nd Ga Se
2 2 2 8
direct
0.2493 0.2500 0.4383
0.7507 0.7500 0.5617
0.2700 0.2500 0.9438
0.7300 0.7500 0.0562
0.2731 0.7500 0.1807
0.7269 0.2500 0.8193
0.0635 0.7500 0.9103
0.0774 0.7500 0.3635
0.4891 0.5109 0.7726
0.4891 0.9891 0.7726
0.5109 0.0109 0.2274
0.5109 0.4891 0.2274
0.9226 0.2500 0.6365
0.9365 0.2500 0.0897

=====

[4]
PBE Ba2NdGaTe5, optimized geometry; E = -4.343 eV/atom; volume = 37.54 Å³/atom; total magnetization = 0.0 μB/f.u.; density = 5.5 g cm⁻³
1.0
2.2770 -10.3930 0.0000
2.2770 10.3930 0.0000
0.0000 0.0000 14.2772
Ba Nd Ga Te
4 2 2 10
direct
0.1204 0.8796 0.5000
0.1234 0.8766 0.1390
0.8766 0.1234 0.6390
0.8796 0.1204 0.0000
0.2057 0.7943 0.8387
0.7943 0.2057 0.3387
0.4386 0.5614 0.2437
0.5614 0.4386 0.7437
0.0450 0.9550 0.8518
0.2954 0.7046 0.4892
0.3147 0.6853 0.1803
0.3538 0.6462 0.8206
0.4998 0.5002 0.0833
0.5002 0.4998 0.5833
0.6462 0.3538 0.3206
0.6853 0.3147 0.6803
0.7046 0.2954 0.9892
0.9550 0.0450 0.3518

=====

[5]
PBE BaNdZnGa, optimized geometry; calculated formation energy = -0.23 eV per atom; E = -2.977 eV/atom; volume = 29.31 Å³/atom; total magnetization = 0.0 μB/f.u.; density = 5.9 g cm⁻³
1.0
0.0000 3.8845 3.8845
3.8845 0.0000 3.8845
3.8845 3.8845 0.0000
Ba Nd Zn Ga
1 1 1 1
direct
0.0000 0.0000 0.0000
0.5000 0.5000 0.5000
0.2500 0.2500 0.2500
0.7500 0.7500 0.7500

=====

[6]
PBE BaGa3Ni, optimized geometry; calculated formation energy = -0.32 eV per atom; E = -3.674 eV/atom; volume = 21.99 Å³/atom; total magnetization = 0.0 μB/f.u.; density = 6.1 g cm⁻³
1.0
4.5543 0.0000 0.0000
0.0000 4.5900 0.0000
-0.0047 0.0000 10.5189
Ba Ga Ni
2 6 2
direct
0.0004 0.2500 0.1821
0.9996 0.7500 0.8179
0.0007 0.2500 0.5851
0.4988 0.7500 0.5793
0.5000 0.2500 0.9212
0.5000 0.7500 0.0788
0.5012 0.2500 0.4207
0.9993 0.7500 0.4149
0.4995 0.7500 0.3195
0.5005 0.2500 0.6805

=====

[7]
PBE BaGaNi2, optimized geometry; calculated formation energy = -0.10 eV per atom; E = -4.226 eV/atom; volume = 23.98 Å³/atom; total magnetization = 0.0 μB/f.u.; density = 5.6 g cm⁻³
1.0
-2.4454 2.4454 8.0198
2.4454 -2.4454 8.0198
2.4454 2.4454 -8.0198
Ba Ga Ni
2 2 4
direct
0.3750 0.6250 0.7500
0.6250 0.3750 0.2500
0.1250 0.8750 0.2500
0.8750 0.1250 0.7500
0.0000 0.0000 0.0000
0.0000 0.0000 0.5000
0.0000 0.5000 0.0000
0.5000 0.0000 0.5000

=====

[8]
PBE BaGa9Ni2, optimized geometry; calculated formation energy = -0.26 eV per atom; E = -3.649 eV/atom; volume = 18.04 Å³/atom; total magnetization = 0.0 μB/f.u.; density = 6.8 g cm⁻³
1.0
-5.3361 5.3361 3.8007
5.3361 -5.3361 3.8007
5.3361 5.3361 -3.8007
Ba Ga Ni
2 18 4
direct
0.3750 0.6250 0.7500
0.6250 0.3750 0.2500
0.1250 0.8750 0.2500
0.1433 0.5721 0.3255
0.1433 0.8178 0.5712
0.1822 0.2534 0.3255
0.1822 0.8567 0.9288
0.2534 0.1822 0.8255
0.2534 0.4279 0.0712
0.4279 0.2534 0.5712
0.4279 0.8567 0.1745
0.5721 0.1433 0.8255
0.5721 0.7466 0.4288
0.7466 0.5721 0.9288
0.7466 0.8178 0.1745
0.8178 0.1433 0.0712
0.8178 0.7466 0.6745
0.8567 0.1822 0.4288
0.8567 0.4279 0.6745
0.8750 0.1250 0.7500
0.0000 0.0000 0.0000
0.0000 0.0000 0.5000
0.0000 0.5000 0.0000
0.5000 0.0000 0.5000

=====

[9]
PBE BaGa3Ni, optimized geometry; calculated formation energy = 1.55 eV per atom; E = -1.812 eV/atom; volume = 42.04 Å³/atom; total magnetization = 0.0 μB/f.u.; density = 3.2 g cm⁻³
1.0
5.9458 0.0000 0.0000
0.0000 5.9458 0.0000
0.0000 0.0000 5.9458
Ba Ga Ni
1 3 1
direct
0.0000 0.0000 0.0000
0.0000 0.0000 0.5000
0.0000 0.5000 0.0000
0.5000 0.0000 0.0000
0.5000 0.5000 0.5000

=====

[10]
PBE Ba2Ga3Ni2, optimized geometry; calculated formation energy = -0.33 eV per atom; E = -3.833 eV/atom; volume = 22.50 Å³/atom; total magnetization = 0.0 μB/f.u.; density = 6.3 g cm⁻³
1.0
5.9534 -2.0366 0.0000
5.9534 2.0366 0.0000
-4.4068 0.0000 6.4957
Ba Ga Ni
2 3 2
direct
0.1346 0.1346 0.2584
0.8654 0.8654 0.7416
0.3383 0.3383 0.0656
0.5000 0.5000 0.5000
0.6617 0.6617 0.9344
0.1163 0.1163 0.7001
0.8837 0.8837 0.2999

=====

[11]
PBE Ba2Ga2Ni, optimized geometry; calculated formation energy = -0.02 eV per atom; E = -3.158 eV/atom; volume = 26.55 Å³/atom; total magnetization = 0.0 μB/f.u.; density = 5.9 g cm⁻³; energy above the lowest structure with this stoichiometry = 1.45 eV/f.u.
1.0
6.9790 0.0000 0.0000
0.0000 6.9790 0.0000
0.0000 0.0000 5.4514
Ba Ga Ni
4 4 2
direct
0.1786 0.3214 0.0000
0.3214 0.8214 0.0000
0.6786 0.1786 0.0000
0.8214 0.6786 0.0000
0.1425 0.6425 0.5000
0.3575 0.1425 0.5000
0.6425 0.8575 0.5000
0.8575 0.3575 0.5000
0.0000 0.0000 0.5000
0.5000 0.5000 0.5000